Density functional theory data (GGA-PBE) for a relaxed structure of NaNbCuS3.

The calculated total energy comes out at -5.43 eV per atom. Its crystal system is monoclinic.

The structure belongs to space group P2_1/m (No. 11); the cell edges are 7.4093, 3.5361 and 9.2005 Å and the angles 90.00°, 109.82° and 90.00°. The asymmetric unit holds Na at (0.2486, 0.2500, 0.2031), Nb at (0.1765, 0.7500, 0.6564), Cu at (0.4164, 0.2500, 0.8940), S at (0.0762, 0.7500, 0.3649), S at (0.2434, 0.7500, 0.9437) and S at (0.4155, 0.2500, 0.6504).

---

Density functional theory data (GGA-PBE) for a relaxed structure of NaNbCuS3.

The calculated total energy comes out at -5.35 eV per atom. Its crystal system is orthorhombic.

The structure belongs to space group Pnma (No. 62); the cell edges are 10.9978, 3.5195 and 11.1519 Å and the angles 90.00°, 90.00° and 90.00°. The asymmetric unit holds Na at (0.1583, 0.2500, 0.0095), Nb at (0.0512, 0.2500, 0.3329), Cu at (0.2484, 0.7500, 0.2112), S at (0.0444, 0.7500, 0.1698), S at (0.0908, 0.2500, 0.5768) and S at (0.2329, 0.7500, 0.8418).

---

Density functional theory data (GGA-PBE) for a relaxed structure of NaNbCuSe2S.

The calculated total energy comes out at -5.11 eV per atom. Its crystal system is orthorhombic.

The structure belongs to space group Cmcm (No. 63); the cell edges are 3.6133, 13.7226 and 9.6173 Å and the angles 90.00°, 90.00° and 90.00°. The asymmetric unit holds Na at (0.0000, 0.2436, 0.2500), Nb at (0.0000, 0.5000, 0.0000), Cu at (0.0000, 0.0316, 0.7500), Se at (0.0000, 0.1369, 0.5518) and S at (0.0000, 0.4287, 0.7500).

---

Density functional theory data (GGA-PBE) for a relaxed structure of NaNbCuSe3.

The calculated total energy comes out at -4.98 eV per atom. Its crystal system is monoclinic.

The structure belongs to space group P2_1/m (No. 11); the cell edges are 7.6898, 3.6821 and 9.6182 Å and the angles 90.00°, 108.97° and 90.00°. The asymmetric unit holds Na at (0.2401, 0.2500, 0.2061), Nb at (0.1925, 0.7500, 0.6701), Cu at (0.4201, 0.2500, 0.8965), Se at (0.0721, 0.7500, 0.3712), Se at (0.2378, 0.7500, 0.9502) and Se at (0.4273, 0.2500, 0.6502).

---

Density functional theory data (GGA-PBE) for a relaxed structure of NaNbCuSe3.

The calculated total energy comes out at -4.89 eV per atom. Its crystal system is orthorhombic.

The structure belongs to space group Pnma (No. 62); the cell edges are 11.5204, 3.7039 and 11.6501 Å and the angles 90.00°, 90.00° and 90.00°. The asymmetric unit holds Na at (0.1742, 0.2500, 0.0189), Nb at (0.0534, 0.2500, 0.3312), Cu at (0.2429, 0.7500, 0.2122), Se at (0.0398, 0.7500, 0.1669), Se at (0.0901, 0.2500, 0.5763) and Se at (0.2281, 0.7500, 0.8406).

---

Density functional theory data (GGA-PBE) for a relaxed structure of NaNbCuTe2Se.

The calculated total energy comes out at -4.63 eV per atom. Its crystal system is orthorhombic.

The structure belongs to space group Cmcm (No. 63); the cell edges are 3.8004, 14.7188 and 10.1078 Å and the angles 90.00°, 90.00° and 90.00°. The asymmetric unit holds Na at (0.0000, 0.2401, 0.2500), Nb at (0.0000, 0.5000, 0.0000), Cu at (0.0000, 0.0301, 0.7500), Te at (0.0000, 0.1395, 0.5517) and Se at (0.0000, 0.4285, 0.7500).

---

Density functional theory data (GGA-PBE) for a relaxed structure of NaNdCu3S4.

The calculated total energy comes out at -4.27 eV per atom. Its crystal system is cubic.

The structure belongs to space group P-43m (No. 215); the cell edges are 5.9526, 5.9526 and 5.9526 Å and the angles 90.00°, 90.00° and 90.00°. The asymmetric unit holds Na at (0.0000, 0.0000, 0.0000), Nd at (0.5000, 0.5000, 0.5000), Cu at (0.0000, 0.5000, 0.5000) and S at (0.2509, 0.2509, 0.2509).

---

Density functional theory data (GGA-PBE) for a relaxed structure of NaNdCuTe3.

The calculated total energy comes out at -4.04 eV per atom. Its crystal system is orthorhombic.

The structure belongs to space group Cmcm (No. 63); the cell edges are 4.2439, 14.5637 and 11.6543 Å and the angles 90.00°, 90.00° and 90.00°. The asymmetric unit holds Na at (0.0000, 0.2432, 0.2500), Nd at (0.0000, 0.0000, 0.0000), Cu at (0.0000, 0.4704, 0.7500), Te at (0.0000, 0.0815, 0.7500) and Te at (0.0000, 0.3539, 0.5770).

---

Density functional theory data (GGA-PBE) for a relaxed structure of NaCuNiP2.

The calculated total energy comes out at -4.66 eV per atom. Its crystal system is tetragonal.

The structure belongs to space group I-4m2 (No. 119); the cell edges are 3.9067, 3.9067 and 9.3718 Å and the angles 90.00°, 90.00° and 90.00°. The asymmetric unit holds Na at (0.0000, 0.0000, 0.0000), Cu at (0.0000, 0.5000, 0.2500), Ni at (0.0000, 0.5000, 0.7500) and P at (0.0000, 0.0000, 0.3820).

---

Density functional theory data (GGA-PBE) for a relaxed structure of NaCuNiSe2S.

The calculated total energy comes out at -3.98 eV per atom. Its crystal system is orthorhombic.

The structure belongs to space group Cmcm (No. 63); the cell edges are 3.5741, 12.7242 and 9.6092 Å and the angles 90.00°, 90.00° and 90.00°. The asymmetric unit holds Na at (0.0000, 0.2457, 0.2500), Cu at (0.0000, 0.0474, 0.7500), Ni at (0.0000, 0.5000, 0.0000), Se at (0.0000, 0.1303, 0.5285) and S at (0.0000, 0.4394, 0.7500).

---

Density functional theory data (GGA-PBE) for a relaxed structure of NaCuNiTeSe2.

The calculated total energy comes out at -3.78 eV per atom. Its crystal system is orthorhombic.

The structure belongs to space group Cmcm (No. 63); the cell edges are 3.5591, 13.9271 and 10.0456 Å and the angles 90.00°, 90.00° and 90.00°. The asymmetric unit holds Na at (0.0000, 0.2320, 0.2500), Cu at (0.0000, 0.4449, 0.7500), Ni at (0.0000, 0.0000, 0.0000), Te at (0.0000, 0.0781, 0.7500) and Se at (0.0000, 0.3798, 0.5301).

---

Density functional theory data (GGA-PBE) for a relaxed structure of Na4CuNiSn2.

The calculated total energy comes out at -2.78 eV per atom. Its crystal system is tetragonal.

The structure belongs to space group P-4m2 (No. 115); the cell edges are 4.8198, 4.8198 and 6.8210 Å and the angles 90.00°, 90.00° and 90.00°. The asymmetric unit holds Na at (0.0000, 0.0000, 0.0000), Na at (0.0000, 0.5000, 0.2495), Na at (0.5000, 0.5000, 0.5000), Cu at (0.0000, 0.0000, 0.5000), Ni at (0.5000, 0.5000, 0.0000) and Sn at (0.0000, 0.5000, 0.7601).

---

Density functional theory data (GGA-PBE) for a relaxed structure of NaCuNiTe.

The calculated total energy comes out at -3.32 eV per atom. Its excess energy over the best structure of this formula in the dataset is 0.07 eV/f.u. Its crystal system is cubic.

The structure belongs to space group F-43m (No. 216); the cell edges are 6.4668, 6.4668 and 6.4668 Å and the angles 90.00°, 90.00° and 90.00°. The asymmetric unit holds Na at (0.0000, 0.0000, 0.0000), Cu at (0.2500, 0.2500, 0.2500), Ni at (0.0000, 0.0000, 0.5000) and Te at (0.2500, 0.2500, 0.7500).

---

Density functional theory data (GGA-PBE) for a relaxed structure of NaCuNiTe.

The calculated total energy comes out at -3.17 eV per atom. Its excess energy over the best structure of this formula in the dataset is 0.66 eV/f.u. Its crystal system is cubic.

The structure belongs to space group F-43m (No. 216); the cell edges are 6.5718, 6.5718 and 6.5718 Å and the angles 90.00°, 90.00° and 90.00°. The asymmetric unit holds Na at (0.0000, 0.0000, 0.0000), Cu at (0.0000, 0.0000, 0.5000), Ni at (0.2500, 0.2500, 0.7500) and Te at (0.2500, 0.2500, 0.2500).

---

Density functional theory data (GGA-PBE) for a relaxed structure of NaCuNiTe.

The calculated total energy comes out at -3.34 eV per atom. Its excess energy over the best structure of this formula in the dataset is 0.00 eV/f.u. Its crystal system is cubic.

The structure belongs to space group F-43m (No. 216); the cell edges are 6.4352, 6.4352 and 6.4352 Å and the angles 90.00°, 90.00° and 90.00°. The asymmetric unit holds Na at (0.0000, 0.0000, 0.0000), Cu at (0.2500, 0.2500, 0.7500), Ni at (0.2500, 0.2500, 0.2500) and Te at (0.0000, 0.0000, 0.5000).

---

Density functional theory data (GGA-PBE) for a relaxed structure of NaCuOs.

The calculated total energy comes out at -4.02 eV per atom. Its excess energy over the best structure of this formula in the dataset is 0.00 eV/f.u. Its crystal system is cubic.

The structure belongs to space group F-43m (No. 216); the cell edges are 5.9835, 5.9835 and 5.9835 Å and the angles 90.00°, 90.00° and 90.00°. The asymmetric unit holds Na at (0.0000, 0.0000, 0.0000), Cu at (0.2500, 0.2500, 0.2500) and Os at (0.0000, 0.0000, 0.5000).

---

Density functional theory data (GGA-PBE) for a relaxed structure of NaCuOs.

The calculated total energy comes out at -3.38 eV per atom. Its excess energy over the best structure of this formula in the dataset is 1.94 eV/f.u. Its crystal system is cubic.

The structure belongs to space group F-43m (No. 216); the cell edges are 6.0514, 6.0514 and 6.0514 Å and the angles 90.00°, 90.00° and 90.00°. The asymmetric unit holds Na at (0.0000, 0.0000, 0.0000), Cu at (0.2500, 0.2500, 0.7500) and Os at (0.2500, 0.2500, 0.2500).

---

Density functional theory data (GGA-PBE) for a relaxed structure of NaCuOsS3.

The calculated total energy comes out at -5.08 eV per atom. Its crystal system is orthorhombic.

The structure belongs to space group Cmcm (No. 63); the cell edges are 3.6181, 12.6687 and 9.2098 Å and the angles 90.00°, 90.00° and 90.00°. The asymmetric unit holds Na at (0.0000, 0.2448, 0.2500), Cu at (0.0000, 0.4619, 0.7500), Os at (0.0000, 0.0000, 0.0000), S at (0.0000, 0.0768, 0.7500) and S at (0.0000, 0.3771, 0.5396).

---

Density functional theory data (GGA-PBE) for a relaxed structure of NaCuOsSe2S.

The calculated total energy comes out at -4.80 eV per atom. Its crystal system is orthorhombic.

The structure belongs to space group Cmcm (No. 63); the cell edges are 3.7140, 13.3085 and 9.3467 Å and the angles 90.00°, 90.00° and 90.00°. The asymmetric unit holds Na at (0.0000, 0.2463, 0.2500), Cu at (0.0000, 0.0304, 0.7500), Os at (0.0000, 0.5000, 0.0000), Se at (0.0000, 0.1277, 0.5384) and S at (0.0000, 0.4290, 0.7500).

---

Density functional theory data (GGA-PBE) for a relaxed structure of NaCuTe2OsS.

The calculated total energy comes out at -4.53 eV per atom. Its crystal system is orthorhombic.

The structure belongs to space group Cmcm (No. 63); the cell edges are 3.9042, 14.0186 and 9.5587 Å and the angles 90.00°, 90.00° and 90.00°. The asymmetric unit holds Na at (0.0000, 0.2421, 0.2500), Cu at (0.0000, 0.0212, 0.7500), Te at (0.0000, 0.1312, 0.5371), Os at (0.0000, 0.5000, 0.0000) and S at (0.0000, 0.4351, 0.7500).